Record 1
DFT (GGA-PBE) results for an optimized crystal structure of Rb4Zr.

energy relative to the elements: 0.879 eV per atom
N(E_F): 5.64 states/eV/cell
SG: Pm-3m (221)
energy: -1.60 eV per atom

Cell and atoms, written as POSCAR:
```
Rb4Zr
1.0
7.282 0.000 0.000
0.000 7.282 0.000
0.000 0.000 7.282
Rb Zr
4 1
Direct
0.000 0.000 0.000
0.000 0.500 0.500
0.500 0.000 0.500
0.500 0.500 0.000
0.500 0.500 0.500
```


Record 2
DFT (GGA-PBE) results for an optimized crystal structure of Li2CaCd2Ag2.

energy relative to the elements: -0.205 eV per atom
N(E_F): 3.65 states/eV/cell
SG: C2/m (12)
energy: -2.11 eV per atom

Cell and atoms, written as POSCAR:
```
Li2CaCd2Ag2
1.0
4.072 -2.354 0.000
4.072 2.354 0.000
-2.629 0.000 7.866
Li Ca Cd Ag
2 1 2 2
Direct
0.071 0.071 0.212
0.929 0.929 0.788
0.500 0.500 0.500
0.365 0.365 0.092
0.635 0.635 0.908
0.243 0.243 0.726
0.757 0.757 0.274
```


Record 3
DFT (GGA-PBE) results for an optimized crystal structure of KAsRh2.

energy relative to the elements: 0.556 eV per atom
N(E_F): 5.10 states/eV/cell
SG: I-4m2 (119)
energy: -4.56 eV per atom

Cell and atoms, written as POSCAR:
```
KAsRh2
1.0
-1.997 1.997 4.404
1.997 -1.997 4.404
1.997 1.997 -4.404
K As Rh
1 1 2
Direct
0.000 0.000 0.000
0.750 0.250 0.500
0.250 0.750 0.500
0.500 0.500 0.000
```


Record 4
DFT (GGA-PBE) results for an optimized crystal structure of DyThPt.

energy relative to the elements: -0.672 eV per atom
N(E_F): 3.44 states/eV/cell
SG: F-43m (216)
energy: -6.69 eV per atom

Cell and atoms, written as POSCAR:
```
DyThPt
1.0
0.000 3.502 3.502
3.502 0.000 3.502
3.502 3.502 0.000
Dy Th Pt
1 1 1
Direct
0.000 0.000 0.000
0.500 0.500 0.500
0.750 0.750 0.750
```


Record 5
DFT (GGA-PBE) results for an optimized crystal structure of ZrCl3F.

N(E_F): 9.29 states/eV/cell
SG: Pm-3m (221)
energy: -3.15 eV per atom
uncorrected formation energy: 0.0420 eV per atom

Cell and atoms, written as POSCAR:
```
ZrCl3F
1.0
4.603 0.000 0.000
0.000 4.603 0.000
0.000 0.000 4.603
Zr Cl F
1 3 1
Direct
0.000 0.000 0.000
0.000 0.500 0.500
0.500 0.000 0.500
0.500 0.500 0.000
0.500 0.500 0.500
```


Record 6
DFT (GGA-PBE) results for an optimized crystal structure of Pm4In2As.

energy relative to the elements: -0.458 eV per atom
N(E_F): 5.15 states/eV/cell
SG: I4/mmm (139)
energy: -4.62 eV per atom

Cell and atoms, written as POSCAR:
```
Pm4In2As
1.0
-2.763 2.763 7.765
2.763 -2.763 7.765
2.763 2.763 -7.765
Pm In As
4 2 1
Direct
0.000 0.500 0.500
0.182 0.182 0.000
0.500 0.000 0.500
0.818 0.818 0.000
0.383 0.383 0.000
0.617 0.617 0.000
0.000 0.000 0.000
```


Record 7
DFT (GGA-PBE) results for an optimized crystal structure of MnAlCl2.

N(E_F): 1.81 states/eV/cell
SG: Cmmm (65)
energy: -4.44 eV per atom
uncorrected formation energy: -0.2932 eV per atom

Cell and atoms, written as POSCAR:
```
MnAlCl2
1.0
1.700 -3.033 0.000
1.700 3.033 0.000
0.000 0.000 9.168
Mn Al Cl
1 1 2
Direct
0.000 0.000 0.000
0.000 0.000 0.500
0.500 0.500 0.188
0.500 0.500 0.812
```


Record 8
DFT (GGA-PBE) results for an optimized crystal structure of CaZnS.

SG: R3m (160)
energy: -3.39 eV per atom
uncorrected formation energy: -0.9178 eV per atom

Cell and atoms, written as POSCAR:
```
CaZnS
1.0
1.926 1.112 5.383
-1.926 1.112 5.383
0.000 -2.224 5.383
Ca Zn S
1 1 1
Direct
0.000 0.000 0.000
0.803 0.803 0.803
0.225 0.225 0.225
```


Record order is preserved below.
Total magnetization: 4.659 0.000 0.000 0.000 0.023 0.000 4.610 0.000 μB per formula unit